# 1
The following is a PBE calculation of a geometry-optimized YEr3C2Se2 structure, from OQMD via LeMat-Bulk.

a b c (Å): 3.7305 3.7305 13.1689
angles (deg): 90.00 90.00 120.00
Space group P3m1 (No. 156)
One atom of each set of equivalent atoms:
Y1 0.0000 0.0000 0.0000 x1
Er1 0.0000 0.0000 0.3011 x1
Er2 0.3333 0.6667 0.4997 x1
Er3 0.3333 0.6667 0.7990 x1
C1 0.6667 0.3333 0.4001 x1
C2 0.6667 0.3333 0.8979 x1
Se1 0.0000 0.0000 0.6494 x1
Se2 0.3333 0.6667 0.1522 x1

## Properties
total energy: -0.5048 Ry per atom
total magnetic moment: 0.0006 μB/atom

---

# 2
The following is a PBE calculation of a geometry-optimized ErZr3C2Se2 structure, from OQMD via LeMat-Bulk.

a b c (Å): 3.5231 3.5231 12.8403
angles (deg): 90.00 90.00 120.00
Space group P3m1 (No. 156)
One atom of each set of equivalent atoms:
Er1 0.0000 0.0000 0.0000 x1
Zr1 0.0000 0.0000 0.6907 x1
Zr2 0.6667 0.3333 0.1994 x1
Zr3 0.6667 0.3333 0.5029 x1
C1 0.3333 0.6667 0.1079 x1
C2 0.3333 0.6667 0.5968 x1
Se1 0.0000 0.0000 0.3515 x1
Se2 0.6667 0.3333 0.8391 x1

## Properties
total energy: -0.5975 Ry per atom
total magnetic moment: 0.0004 μB/atom

---

# 3
The following is a PBE calculation of a geometry-optimized Er3ZrC2Se2 structure, from OQMD via LeMat-Bulk.

a b c (Å): 3.6471 3.6471 13.0454
angles (deg): 90.00 90.00 120.00
Space group P3m1 (No. 156)
One atom of each set of equivalent atoms:
Er1 0.0000 0.0000 0.0000 x1
Er2 0.0000 0.0000 0.3032 x1
Er3 0.6667 0.3333 0.7986 x1
Zr1 0.6667 0.3333 0.4977 x1
C1 0.3333 0.6667 0.4100 x1
C2 0.3333 0.6667 0.8971 x1
Se1 0.0000 0.0000 0.6406 x1
Se2 0.6667 0.3333 0.1530 x1

## Properties
total energy: -0.5231 Ry per atom
total magnetic moment: 0.0004 μB/atom

---

# 4
The following is a PBE calculation of a geometry-optimized ErZrCSe structure, from OQMD via LeMat-Bulk.

a b c (Å): 3.5715 3.5715 12.9687
angles (deg): 90.00 90.00 120.00
Space group P6_3mc (No. 186)
One atom of each set of equivalent atoms:
Er1 0.3333 0.6667 0.0000 x2
Zr1 0.3333 0.6667 0.6963 x2
C1 0.0000 0.0000 0.1064 x2
Se1 0.3333 0.6667 0.3427 x2

## Properties
total energy: -0.5599 Ry per atom
total magnetic moment: 0.0010 μB/atom

---

Q: Look up the total energy of the third one.
A: -0.5231 Ry per atom

---

Q: The highest total magnetic moment belongs to which entry?
A: ErZrCSe

---

Q: Which formula does entry 3 have?
A: Er3ZrC2Se2